Density functional theory data (PBE) for a relaxed TbAl3 crystal.

Cell: 4.2669 4.2669 4.2669 Å, 90.00 90.00 90.00°
Fractional positions:
Tb  0.0000  0.0000  0.0000
Al  0.0000  0.5000  0.5000
Al  0.5000  0.0000  0.5000
Al  0.5000  0.5000  0.0000

## Properties
Magnetization, Bohr magnetons per cell: 0.00
Final energy, eV/atom: -4.39
Symmetry: No. 221